Record 1
{"formula": "BaCdI4", "functional": "GGA-PBE", "state": "relaxed", "vol_a3_per_atom": 48.910, "relative_energy_mev_per_atom": 5, "formation_energy_uncorrected_kj_per_mol_fu": -669, "dft_energy_ev_per_cell": -32.0, "lattice_angstrom": [[7.228, -0.936, 0.000], [-4.714, 7.764, 0.000], [0.000, 0.000, 11.351]], "species": ["I", "I", "I", "I", "Cd", "I", "Cd", "I", "Ba", "I", "I", "Ba"], "fractional_positions": [[0.402, 0.289, 0.250], [0.994, 0.293, 0.942], [0.598, 0.711, 0.750], [0.394, 0.111, 0.750], [0.995, 0.091, 0.750], [0.006, 0.707, 0.058], [0.005, 0.909, 0.250], [0.606, 0.889, 0.250], [0.003, 0.398, 0.250], [0.006, 0.707, 0.442], [0.994, 0.293, 0.558], [0.997, 0.602, 0.750]]}


Record 2
{"formula": "Ba4CdI3", "functional": "GGA-PBE", "state": "relaxed", "vol_a3_per_atom": 45.580, "formation_energy_uncorrected_kj_per_mol_fu": -813, "dft_energy_ev_per_cell": -21.7, "lattice_angstrom": [[4.815, 0.000, 0.000], [0.000, 8.477, -2.730], [0.000, 0.082, 8.906]], "species": ["Ba", "Cd", "Ba", "Ba", "Ba", "I", "I", "I"], "fractional_positions": [[0.000, 0.231, 0.231], [0.500, 0.000, 0.000], [0.500, 0.241, 0.759], [0.000, 0.769, 0.769], [0.500, 0.759, 0.241], [0.500, 0.500, 0.500], [0.000, 0.500, 0.000], [0.000, 0.000, 0.500]]}


Record 3
{"formula": "Ba2CdI", "functional": "GGA-PBE", "state": "relaxed", "vol_a3_per_atom": 43.429, "relative_energy_mev_per_atom": 0, "formation_energy_uncorrected_kj_per_mol_fu": -309, "dft_energy_ev_per_cell": -19.0, "lattice_angstrom": [[5.349, 0.000, 0.000], [0.000, 4.636, -0.823], [0.000, 0.095, 13.995]], "species": ["I", "Ba", "Ba", "Ba", "Cd", "I", "Cd", "Ba"], "fractional_positions": [[0.750, 0.804, 0.607], [0.750, 0.672, 0.344], [0.250, 0.061, 0.122], [0.250, 0.328, 0.656], [0.750, 0.540, 0.080], [0.250, 0.196, 0.393], [0.250, 0.460, 0.920], [0.750, 0.939, 0.878]]}


Record 4
{"formula": "Ba2CdI", "functional": "GGA-PBE", "state": "relaxed", "vol_a3_per_atom": 46.442, "relative_energy_mev_per_atom": 45, "formation_energy_uncorrected_kj_per_mol_fu": -292, "dft_energy_ev_per_cell": -9.3, "lattice_angstrom": [[-2.752, -1.477, -3.589], [-0.291, -4.638, -1.022], [-8.328, -2.893, 4.423]], "species": ["Ba", "Cd", "I", "Ba"], "fractional_positions": [[0.077, 0.077, 0.769], [0.667, 0.667, 0.998], [0.499, 0.499, 0.502], [0.257, 0.257, 0.230]]}